[1]
A PBEsol-optimized structure of YTl3C. Source: Alexandria via LeMat-Bulk, functional meta-GGA SCAN.

Computed properties:
size of the total moment	0.0000	μB/atom
symmetry	No. 221
calculated formation energy	82.6	kJ per mole of atoms
density of states at the Fermi level	3.08	states/eV per cell

abc: 4.900 4.900 4.900
angles: 90.00 90.00 90.00
Element x y z (fractional)
Y 0.000 0.000 0.000
Tl 0.000 0.500 0.500
Tl 0.500 0.000 0.500
Tl 0.500 0.500 0.000
C 0.500 0.500 0.500

[2]
A PBEsol-optimized structure of AgPtSe. Source: Alexandria via LeMat-Bulk, functional meta-GGA SCAN.

Computed properties:
size of the total moment	0.0000	μB/atom
symmetry	No. 216
energy relative to the elements, uncorrected	0.159	eV per atom
density of states at the Fermi level	1.89	states/eV per cell

abc: 4.340 4.340 4.340
angles: 60.00 60.00 60.00
Element x y z (fractional)
Ag 0.000 0.000 0.000
Pt 0.750 0.750 0.750
Se 0.500 0.500 0.500

[3]
A PBEsol-optimized structure of CoReTeN2. Source: Alexandria via LeMat-Bulk, functional meta-GGA SCAN.

Computed properties:
size of the total moment	0.3313	μB/atom
symmetry	No. 123
energy relative to the elements, uncorrected	0.587	eV per atom
density of states at the Fermi level	2.08	states/eV per cell

abc: 3.783 3.783 5.653
angles: 90.00 90.00 90.00
Element x y z (fractional)
Co 0.000 0.000 0.000
Re 0.500 0.500 0.500
Te 0.500 0.500 0.000
N 0.000 0.500 0.500
N 0.500 0.000 0.500

- size of the total moment of number 2 (AgPtSe)?
  0.0000 μB/atom